No. 1
The following is a PBE calculation of an optimized crystal structure of GeWSe3, from the Alexandria database.

Computed properties:
raw total energy	-5.175	eV per atom
N(E_F)	1.043	states/eV/atom
size of the total moment	0.12	μB per atom

Lattice parameters (Å, degrees): 4.9560 4.9560 4.9560 90.00 90.00 90.00
With the nearest neighbours (Å) after each atom.
Positions (direct):
W  0.0000  0.0000  0.0000  6 Se 2.48
Se  0.0000  0.0000  0.5000  2 W 2.48
Ge  0.5000  0.5000  0.5000  12 Se 3.50
Se  0.5000  0.0000  0.0000  2 W 2.48
Se  0.0000  0.5000  0.0000  2 W 2.48

***

No. 2
The following is a PBE calculation of an optimized crystal structure of GeWSe2, from the Alexandria database.

Computed properties:
raw total energy	-5.619	eV per atom
N(E_F)	0.449	states/eV/atom
size of the total moment	0.00	μB per atom

Lattice parameters (Å, degrees): 6.1984 6.1984 6.9902 63.68 63.68 90.00
With the nearest neighbours (Å) after each atom.
Positions (direct):
Se  0.3750  0.3325  0.7500  2 W 2.43
Se  0.6675  0.1250  0.2500  2 W 2.43
Ge  0.2500  0.7500  0.5000  4 Se 2.75
Se  0.0825  0.6250  0.2500  2 W 2.43
Se  0.8750  0.9175  0.7500  2 W 2.43
W  0.0000  0.0000  0.0000  4 Se 2.43
Ge  0.5000  0.5000  0.0000  4 Se 2.75
W  0.7500  0.2500  0.5000  4 Se 2.43